(1)
The following is a DFT calculation (GGA-PBE) of a relaxed Co6Ni5Pt crystal.

Mass density, g/cm3: 10.2
ΔE_f, eV/atom: -0.02
E, eV/atom: -6.48
N(E_F), states/eV per cell: 12.51

abc: 3.544 7.287 6.662
angles: 123.13 105.42 90.02
Site moments in Bohr magnetons follow the coordinates.
Atoms (fractional coordinates):
Ni (0.327, 0.827, 0.655)  0.74
Ni (0.665, 0.665, 0.330)  0.76
Ni (0.000, 0.500, 0.000)  0.77
Ni (0.335, 0.335, 0.670)  0.76
Ni (0.673, 0.173, 0.345)  0.74
Co (0.169, 0.423, 0.339)  1.75
Co (0.170, 0.915, 0.339)  1.75
Co (0.500, 0.259, 0.000)  1.76
Co (0.500, 0.741, 0.000)  1.76
Co (0.830, 0.085, 0.661)  1.75
Co (0.831, 0.577, 0.661)  1.75
Pt (0.000, 0.000, 0.000)  0.38


(2)
The following is a DFT calculation (GGA-PBE) of a relaxed PuCl2F4 crystal.

Mass density, g/cm3: 4.2
E, eV/atom: -6.02
N(E_F), states/eV per cell: 4.92

abc: 3.752 4.594 9.173
angles: 88.29 102.38 89.65
Site moments in Bohr magnetons follow the coordinates.
Atoms (fractional coordinates):
F (0.074, 0.633, 0.137)  -0.06
F (0.926, 0.367, 0.863)  -0.06
F (0.438, 0.858, 0.880)  -0.03
F (0.562, 0.142, 0.120)  -0.03
Cl (0.090, 0.292, 0.502)  0.00
Cl (0.910, 0.708, 0.498)  0.00
Pu (0.000, 0.000, 0.000)  4.15


(3)
The following is a DFT calculation (GGA-PBE) of a relaxed K2Au2I5 crystal.

Mass density, g/cm3: 5.1
E, eV/atom: -2.46
N(E_F), states/eV per cell: 4.92

abc: 8.702 8.160 11.760
angles: 110.30 111.71 90.00
Atoms (fractional coordinates):
K (0.147, 0.592, 0.209)
K (0.853, 0.383, 0.791)
K (0.562, 0.092, 0.209)
K (0.438, 0.883, 0.791)
Au (0.000, 0.969, 0.000)
Au (0.500, 0.469, 0.000)
Au (0.225, 0.374, 0.500)
Au (0.775, 0.874, 0.500)
I (0.239, 0.707, 0.967)
I (0.761, 0.740, 0.033)
I (0.228, 0.207, 0.967)
I (0.772, 0.240, 0.033)
I (0.203, 0.086, 0.283)
I (0.797, 0.803, 0.717)
I (0.580, 0.586, 0.283)
I (0.420, 0.303, 0.717)
I (0.118, 0.681, 0.500)
I (0.882, 0.181, 0.500)


(4)
The following is a DFT calculation (GGA-PBE) of a relaxed LiBeF3 crystal.

Mass density, g/cm3: 2.2
E, eV/atom: -5.38
N(E_F), states/eV per cell: 0.00

abc: 2.771 4.856 8.625
angles: 106.35 90.00 90.00
Atoms (fractional coordinates):
Li (0.250, 0.992, 0.615)
Li (0.750, 0.376, 0.385)
Be (0.250, 0.782, 0.243)
Be (0.750, 0.539, 0.757)
F (0.750, 0.828, 0.718)
F (0.750, 0.661, 0.158)
F (0.750, 0.282, 0.595)
F (0.250, 0.503, 0.842)
F (0.250, 0.110, 0.282)
F (0.250, 0.687, 0.405)


Question: Which of these has the lowest N(E_F)?
Answer: LiBeF3